TlTc4Pb2 after structural relaxation. Source: Alexandria, functional GGA-PBE.

Cell lengths 7.933, 7.933, 7.933 Å; angles 143.39, 143.39, 52.74 degrees
Fractional coordinates of all 7 atoms:
1 Tl 0.000 0.000 0.000
2 Tc 0.000 0.500 0.500
3 Tc 0.187 0.187 0.000
4 Tc 0.500 0.000 0.500
5 Tc 0.813 0.813 0.000
6 Pb 0.380 0.380 0.000
7 Pb 0.620 0.620 0.000

Results
* DFT formation energy: 1.88 eV per atom
* ρ: 9.509 Mg/m³
* crystal system: tetragonal


Tl4TcPb after structural relaxation. Source: Alexandria, functional GGA-PBE.

Cell lengths 6.256, 6.256, 6.256 Å; angles 60.00, 60.00, 60.00 degrees
Fractional coordinates of all 6 atoms:
1 Tl 0.125 0.125 0.125
2 Tl 0.125 0.125 0.624
3 Tl 0.125 0.624 0.125
4 Tl 0.624 0.125 0.125
5 Tc 0.500 0.500 0.500
6 Pb 0.750 0.750 0.750

Results
* DFT formation energy: 0.80 eV per atom
* ρ: 10.770 Mg/m³
* crystal system: cubic


Question: Number 1 is which compound?
Answer: TlTc4Pb2